(1)
AcMgCoO4 | Alexandria via LeMat-Bulk | GGA+U | optimized geometry; total magnetic moment = 2.0 μB per formula unit; E = -6.61 eV per atom; space group = I-4, No. 82
1.0
5.5997 0.0000 0.0000
0.0000 5.5997 0.0000
-2.7999 -2.7999 3.3181
Ac Mg Co O
1 1 1 4
Cartesian
0.0000 0.0000 0.0000
2.7999 2.7999 0.0000
0.0000 2.7999 1.6591
-0.9624 -1.3076 2.1328
1.4923 3.7623 1.1853
0.9624 1.3076 2.1328
4.1074 1.8375 1.1853

(2)
Ac2MgCoO6 | Alexandria via LeMat-Bulk | GGA+U | optimized geometry; total magnetic moment = 1.0 μB per formula unit; E = -6.99 eV per atom; space group = I4/mmm, No. 139
1.0
5.5394 0.0000 0.0000
0.0000 5.5393 0.0000
0.0000 0.0000 7.9548
Ac Mg Co O
4 2 2 12
Cartesian
2.7697 4.1543 1.9887
0.0000 1.3850 5.9661
2.7697 4.1543 5.9661
0.0000 1.3850 1.9887
2.7697 1.3841 3.9774
0.0000 4.1552 0.0000
0.0000 4.1537 3.9774
2.7697 1.3856 0.0000
2.7697 1.3853 1.9304
2.7697 1.3853 6.0243
0.0000 4.1540 2.0469
0.0000 4.1540 5.9078
1.3277 5.4808 3.9774
4.2116 5.4808 3.9774
1.3271 2.8259 3.9774
4.2123 2.8259 3.9774
4.0968 2.7134 0.0000
1.4426 2.7134 0.0000
1.4420 0.0586 0.0000
4.0974 0.0586 0.0000

(3)
Ac3MgCo2O8 | Alexandria via LeMat-Bulk | GGA+U | optimized geometry; total magnetic moment = 7.0 μB per formula unit; E = -6.92 eV per atom; space group = P-3m1, No. 164
1.0
-2.0433 3.1319 4.2539
4.5299 -3.2965 0.8323
4.3478 5.4826 -1.9482
Ac Mg Co O
3 1 2 8
Cartesian
5.0968 2.3241 0.7370
1.7376 2.9939 2.4010
0.0000 0.0000 0.0000
2.1739 2.7413 -0.9741
3.1947 -0.0745 1.5893
3.6398 5.3925 1.5487
6.4527 4.0338 0.1295
0.3818 1.2842 3.0085
4.8569 -0.4938 0.7631
1.9775 5.8119 2.3749
2.5342 1.1965 0.3363
4.3002 4.1215 2.8017
3.8092 1.1121 2.9443
3.0252 4.2059 0.1937

> total magnetic moment of number 1 (AcMgCoO4)?

2.0 μB per formula unit